1.
First-principles (GGA-PBE) data for a relaxed structure of Mg4CrCo, as listed in Alexandria.

Cell: 7.762 7.762 7.762 Å, 90.00 90.00 90.00°
Space group F-43m (No. 216)
Inequivalent atoms, fractional coordinates:
1 Mg 0.125 0.125 0.125 x16
2 Cr 0.000 0.000 0.500 x4
3 Co 0.250 0.250 0.750 x4

Results
As for the crystal system: cubic. As for the formation energy: 0.62 eV per atom.

2.
First-principles (GGA-PBE) data for a relaxed structure of SrAuCl2, as listed in Alexandria.

Cell: 4.2476 4.2476 28.2986 Å, 90.00 90.00 120.00°
Space group R-3m (No. 166, hexagonal axes)
Inequivalent atoms, fractional coordinates:
1 Sr 0.0000 0.0000 0.0000 x3
2 Au 0.0000 0.0000 0.5000 x3
3 Cl 0.0000 0.0000 0.3867 x6

Results
As for the crystal system: trigonal. Its formation energy (no corrections) is -4.769 eV/f.u. The calculation puts the relative energy among the computed polymorphs at 42 meV/atom.

Calculated values (hartree per atom) of electronic total energy for the records, taken in order: -0.1188 -0.1233.
Calculated values (Bohr magnetons per cell) of total magnetization for the records, taken in order: 21.822 0.000.